Tl2SiRh | GGA-PBE | relaxed

Lattice parameters (Å, degrees): 4.081 3.335 6.131 90.00 100.77 90.00
Atoms (fractional coordinates):
Tl  0.005  0.000  0.257
Tl  0.995  0.000  0.743
Si  0.500  0.500  0.000
Rh  0.500  0.500  0.500

Summary:
Space-group type: P2/m, No. 10
Uncorrected formation energy: 0.448 eV/atom
Crystal system: monoclinic
Total moment: 0.0 Bohr magnetons per cell